Record 1
Density functional theory data (PBE-GGA) for an optimized crystal structure of Pr4Er4Th.

Cell: 5.133 8.064 8.064 Å, 84.19 71.44 71.44°
Positions (direct):
Pr: 0.336 0.327 0.000
Pr: 0.336 0.000 0.327
Pr: 0.664 0.673 0.000
Er: 0.334 0.666 0.666
Er: 0.666 0.334 0.334
Er: 0.000 0.334 0.666
Er: 0.000 0.666 0.334
Pr: 0.664 0.000 0.673
Th: 0.000 0.000 0.000

## Properties
V   299.9 Å³/f.u.
E   -4.933 eV/atom

***

Record 2
Density functional theory data (PBE-GGA) for an optimized crystal structure of KSc2Sb.

Cell: 6.633 6.633 6.633 Å, 146.94 128.39 62.67°
Last column: magnetic moment on the atom in μB.
Positions (direct):
Sc: 0.555 0.555 0.000  0.07
K: 0.250 0.750 0.500  0.00
Sb: 0.750 0.250 0.500  0.00
Sc: 0.945 0.945 0.000  0.07

## Properties
ΔE_f (raw)   -0.040 eV/atom
V   123.5 Å³/f.u.
E   -4.511 eV/atom

***

Record 3
Density functional theory data (PBE-GGA) for an optimized crystal structure of CdTeS2N.

Cell: 5.044 5.044 4.115 Å, 90.00 90.00 90.00°
Positions (direct):
N: 0.000 0.000 0.500
Cd: 0.000 0.000 0.000
Te: 0.500 0.500 0.500
S: 0.500 0.000 0.000
S: 0.000 0.500 0.000

## Properties
ΔE_f (raw)   1.267 eV/atom
V   104.7 Å³/f.u.
E   -2.860 eV/atom

***

Record 4
Density functional theory data (PBE-GGA) for an optimized crystal structure of Cd2PtAu.

Cell: 4.938 4.938 5.318 Å, 79.82 79.82 35.72°
Positions (direct):
Cd: 0.003 0.003 0.994
Au: 0.250 0.250 0.250
Pt: 0.750 0.750 0.750
Cd: 0.497 0.497 0.506

## Properties
V   74.4 Å³/f.u.
E   -2.926 eV/atom

***

Record 5
Density functional theory data (PBE-GGA) for an optimized crystal structure of CaMg.

Cell: 3.681 5.878 6.448 Å, 109.04 106.59 90.00°
Positions (direct):
Ca: 0.394 0.174 0.789
Mg: 0.147 0.354 0.294
Mg: 0.853 0.646 0.706
Ca: 0.606 0.826 0.211

## Properties
V   62.9 Å³/f.u.
E   -1.852 eV/atom

***

Record 6
Density functional theory data (PBE-GGA) for an optimized crystal structure of AlAgRh.

Cell: 4.159 4.159 4.159 Å, 60.00 60.00 60.00°
Positions (direct):
Rh: 0.000 0.000 0.000
Ag: 0.500 0.500 0.500
Al: 0.250 0.250 0.250

## Properties
V   50.9 Å³/f.u.
E   -4.877 eV/atom

***

Record 7
Density functional theory data (PBE-GGA) for an optimized crystal structure of Sm2DyEr.

Cell: 3.596 3.596 11.750 Å, 81.20 81.20 60.00°
Positions (direct):
Sm: 0.250 0.250 0.250
Dy: 0.500 0.500 0.500
Er: 0.667 0.667 0.999
Sm: 0.083 0.083 0.750

## Properties
V   129.5 Å³/f.u.
E   -4.636 eV/atom

***

Record 8
Density functional theory data (PBE-GGA) for an optimized crystal structure of CePm4Er5.

Cell: 5.920 8.032 8.032 Å, 82.19 68.38 68.38°
Last column: magnetic moment on the atom in μB.
Positions (direct):
Ce: 0.211 0.000 0.000  -0.26
Pm: 0.128 0.324 0.324  0.00
Pm: 0.452 0.324 0.676  0.00
Er: 0.767 0.373 0.000  0.00
Er: 0.678 0.000 0.000  -0.05
Er: 0.140 0.000 0.627  0.00
Pm: 0.776 0.676 0.676  0.00
Er: 0.140 0.627 0.000  0.00
Er: 0.767 0.000 0.373  0.00
Pm: 0.452 0.676 0.324  0.00

## Properties
V   330.0 Å³/f.u.
E   -4.522 eV/atom

***

Record 9
Density functional theory data (PBE-GGA) for an optimized crystal structure of ZrIn2C2.

Cell: 3.910 3.910 6.133 Å, 71.41 71.41 90.00°
Positions (direct):
Zr: 0.000 0.000 0.000
C: 0.560 0.560 0.880
In: 0.750 0.250 0.500
In: 0.250 0.750 0.500
C: 0.440 0.440 0.120

## Properties
V   83.7 Å³/f.u.
E   -5.701 eV/atom

***

Record 10
Density functional theory data (PBE-GGA) for an optimized crystal structure of YHf2AsRu.

Cell: 4.877 5.473 4.877 Å, 90.00 90.00 90.00°
Positions (direct):
Hf: 0.500 0.000 0.000
Ru: 0.000 0.000 0.000
Y: 0.000 0.500 0.000
Hf: 0.000 0.000 0.500
As: 0.500 0.500 0.500

## Properties
V   130.2 Å³/f.u.
E   -7.976 eV/atom

***

Record 11
Density functional theory data (PBE-GGA) for an optimized crystal structure of InP.

Cell: 5.520 5.520 7.889 Å, 90.00 90.00 120.00°
Positions (direct):
In: 0.000 0.000 0.750
P: 0.333 0.667 0.118
P: 0.667 0.333 0.618
P: 0.333 0.667 0.382
P: 0.667 0.333 0.882
In: 0.667 0.333 0.250
In: 0.333 0.667 0.750
In: 0.000 0.000 0.250

## Properties
V   52.0 Å³/f.u.
E   -3.589 eV/atom

***

Record 12
Density functional theory data (PBE-GGA) for an optimized crystal structure of In2Bi2Pb.

Cell: 5.782 6.510 8.769 Å, 90.00 109.25 90.00°
Positions (direct):
Bi: 0.596 0.987 0.191
Bi: 0.404 0.487 0.809
In: 0.811 0.458 0.623
Pb: 0.606 0.489 0.211
In: 0.189 0.958 0.377
In: 0.995 0.735 0.989
In: 0.005 0.235 0.011
Pb: 0.394 0.989 0.789
Bi: 0.201 0.465 0.403
Bi: 0.799 0.965 0.597

## Properties
V   155.8 Å³/f.u.
E   -3.363 eV/atom

***

Record 13
Density functional theory data (PBE-GGA) for an optimized crystal structure of Nd6Dy2YMg.

Cell: 9.330 9.022 9.022 Å, 118.04 92.41 92.41°
Positions (direct):
Dy: 0.049 0.316 0.208
Nd: 0.105 0.720 0.499
Nd: 0.948 0.866 0.221
Dy: 0.951 0.684 0.792
Nd: 0.298 0.005 0.434
Y: 0.750 0.025 0.975
Nd: 0.552 0.779 0.134
Nd: 0.202 0.566 0.995
Dy: 0.549 0.208 0.316
Nd: 0.895 0.280 0.501
Dy: 0.451 0.792 0.684
Nd: 0.702 0.995 0.566
Y: 0.250 0.975 0.025
Nd: 0.798 0.434 0.005
Nd: 0.395 0.501 0.280
Nd: 0.052 0.134 0.779
Mg: 0.750 0.579 0.421
Nd: 0.448 0.221 0.866
Mg: 0.250 0.421 0.579
Nd: 0.605 0.499 0.720

## Properties
V   334.0 Å³/f.u.
E   -4.473 eV/atom

***

Record 14
Density functional theory data (PBE-GGA) for an optimized crystal structure of ThMgGa.

Cell: 3.683 4.780 4.780 Å, 120.00 90.00 90.00°
Positions (direct):
Mg: 0.166 0.000 0.000
Ga: 0.167 0.333 0.667
Th: 0.666 0.667 0.333

## Properties
V   72.9 Å³/f.u.
E   -4.284 eV/atom

***

Record 15
Density functional theory data (PBE-GGA) for an optimized crystal structure of Li2NdPd6.

Cell: 4.710 4.710 9.052 Å, 90.00 90.00 120.00°
Positions (direct):
Pd: 0.000 0.662 0.262
Li: 0.333 0.667 0.500
Pd: 0.662 0.662 0.738
Nd: 0.000 0.000 0.000
Pd: 0.662 0.000 0.262
Li: 0.667 0.333 0.500
Pd: 0.338 0.000 0.738
Pd: 0.338 0.338 0.262
Pd: 0.000 0.338 0.738

## Properties
V   173.9 Å³/f.u.
E   -4.753 eV/atom

***

Record 16
Density functional theory data (PBE-GGA) for an optimized crystal structure of EuLuMgZn.

Cell: 5.272 5.272 5.272 Å, 60.00 60.00 60.00°
Last column: magnetic moment on the atom in μB.
Positions (direct):
Eu: 0.750 0.750 0.750  -6.83
Lu: 0.250 0.250 0.250  -0.04
Zn: 0.000 0.000 0.000  -0.01
Mg: 0.500 0.500 0.500  0.00

## Properties
V   103.6 Å³/f.u.
E   -4.521 eV/atom

***

Record 17
Density functional theory data (PBE-GGA) for an optimized crystal structure of Ac3Hg2Ru.

Cell: 5.641 8.146 8.895 Å, 90.00 71.82 90.00°
Positions (direct):
Ac: 0.131 0.000 0.737
Ac: 0.500 0.750 0.000
Hg: 0.699 0.250 0.601
Hg: 0.301 0.750 0.399
Ru: 0.000 0.750 0.000
Ac: 0.131 0.500 0.737
Hg: 0.699 0.750 0.601
Ru: 0.000 0.250 0.000
Hg: 0.301 0.250 0.399
Ac: 0.500 0.250 0.000
Ac: 0.869 0.000 0.263
Ac: 0.869 0.500 0.263

## Properties
V   194.2 Å³/f.u.
E   -4.053 eV/atom

***

Record 18
Density functional theory data (PBE-GGA) for an optimized crystal structure of Tb6Pm4Sm.

Cell: 7.703 7.703 8.541 Å, 116.80 116.80 90.00°
Positions (direct):
Pm: 0.904 0.904 0.153
Tb: 0.073 0.073 0.629
Tb: 0.444 0.927 0.371
Sm: 0.500 0.500 0.000
Pm: 0.096 0.751 0.847
Pm: 0.751 0.096 0.847
Pm: 0.249 0.249 0.153
Tb: 0.927 0.444 0.371
Tb: 0.556 0.556 0.629
Tb: 0.000 0.500 0.000
Tb: 0.500 0.000 0.000

## Properties
V   390.4 Å³/f.u.
E   -4.256 eV/atom

***

Record 19
Density functional theory data (PBE-GGA) for an optimized crystal structure of LiBe2Cr.

Cell: 3.834 3.834 3.834 Å, 60.00 60.00 60.00°
Positions (direct):
Be: 0.250 0.250 0.250
Be: 0.750 0.750 0.750
Cr: 0.500 0.500 0.500
Li: 0.000 0.000 0.000

## Properties
V   39.9 Å³/f.u.
E   -4.357 eV/atom

***

Record 20
Density functional theory data (PBE-GGA) for an optimized crystal structure of TaCrPb3.

Cell: 5.476 5.476 5.476 Å, 90.00 90.00 90.00°
Last column: magnetic moment on the atom in μB.
Positions (direct):
Ta: 0.000 0.000 0.000  -0.11
Pb: 0.000 0.500 0.000  0.01
Pb: 0.500 0.000 0.000  -0.01
Cr: 0.500 0.500 0.500  -0.80
Pb: 0.000 0.000 0.500  0.01

## Properties
V   164.2 Å³/f.u.
E   -4.961 eV/atom

***

Record 21
Density functional theory data (PBE-GGA) for an optimized crystal structure of BeCu2Se.

Cell: 4.268 4.268 4.268 Å, 60.00 60.00 60.00°
Positions (direct):
Cu: 0.250 0.250 0.250
Be: 0.000 0.000 0.000
Se: 0.500 0.500 0.500
Cu: 0.750 0.750 0.750

## Properties
ΔE_f (raw)   0.359 eV/atom
V   55.0 Å³/f.u.
E   -3.492 eV/atom

***

Record 22
Density functional theory data (PBE-GGA) for an optimized crystal structure of Pr4SmTh.

Cell: 3.660 9.747 12.225 Å, 148.76 89.99 100.83°
Positions (direct):
Pr: 0.336 0.672 0.998
Pr: 0.664 0.329 0.002
Pr: 0.173 0.345 0.508
Pr: 0.828 0.655 0.492
Th: 0.000 0.000 0.000
Sm: 0.500 0.000 0.500

## Properties
V   210.8 Å³/f.u.
E   -5.169 eV/atom

***

Record 23
Density functional theory data (PBE-GGA) for an optimized crystal structure of TaAl4.

Cell: 7.163 7.163 7.163 Å, 150.63 150.63 42.02°
Positions (direct):
Ta: 0.000 0.000 0.000
Al: 0.250 0.750 0.500
Al: 0.595 0.595 0.000
Al: 0.405 0.405 0.000
Al: 0.750 0.250 0.500

## Properties
V   88.2 Å³/f.u.
E   -5.060 eV/atom

***

Record 24
Density functional theory data (PBE-GGA) for an optimized crystal structure of La2ThAl6.

Cell: 4.036 7.878 7.878 Å, 120.00 90.00 90.00°
Positions (direct):
Al: 0.500 0.331 0.000
La: 0.000 0.333 0.667
Al: 0.500 0.000 0.669
Al: 0.500 0.669 0.669
Th: 0.000 0.000 0.000
Al: 0.500 0.000 0.331
La: 0.000 0.667 0.333
Al: 0.500 0.331 0.331
Al: 0.500 0.669 0.000

## Properties
V   217.0 Å³/f.u.
E   -4.871 eV/atom

***

Record 25
Density functional theory data (PBE-GGA) for an optimized crystal structure of HoAgSbPd.

Cell: 4.896 4.896 4.896 Å, 60.00 60.00 60.00°
Positions (direct):
Ho: 0.000 0.000 0.000
Sb: 0.500 0.500 0.500
Ag: 0.750 0.750 0.750
Pd: 0.250 0.250 0.250

## Properties
ΔE_f (raw)   -0.564 eV/atom
V   83.0 Å³/f.u.
E   -4.750 eV/atom

***

Record 26
Density functional theory data (PBE-GGA) for an optimized crystal structure of TbAu6.

Cell: 6.394 6.394 6.394 Å, 109.47 109.47 109.47°
Positions (direct):
Au: 0.250 0.500 0.750
Au: 0.500 0.750 0.250
Au: 0.750 0.500 0.250
Au: 0.750 0.250 0.500
Au: 0.500 0.250 0.750
Tb: 0.000 0.000 0.000
Au: 0.250 0.750 0.500

## Properties
V   201.3 Å³/f.u.
E   -3.003 eV/atom